# 1
Compound: Tb5GaAg4
Source: Alexandria
Functional: GGA-PBE
Structure: relaxed

a = 3.6220 Å, b = 3.6220 Å, c = 18.3448 Å
α = 90.00°, β = 90.00°, γ = 90.00°
Space group P4/mmm (No. 123)
Inequivalent atoms, fractional coordinates:
Tb 0.0000 0.0000 0.0000 x1
Tb 0.0000 0.0000 0.2020 x2
Tb 0.0000 0.0000 0.4038 x2
Ga 0.5000 0.5000 0.5000 x1
Ag 0.5000 0.5000 0.1002 x2
Ag 0.5000 0.5000 0.3028 x2

E_tot, eV/cell: -41.3
Formation energy, eV/atom: -0.37
Magnetic moment, Bohr magnetons per cell: 0.000
Fermi-level density of states, states/eV per atom: 0.685

---

# 2
Compound: Y2MgSi
Source: Alexandria
Functional: GGA-PBE
Structure: relaxed

a = 4.0247 Å, b = 4.0247 Å, c = 6.2477 Å
α = 90.00°, β = 90.00°, γ = 90.00°
Space group P4mm (No. 99)
Inequivalent atoms, fractional coordinates:
Y 0.0000 0.0000 0.0000 x1
Y 0.5000 0.5000 0.3095 x1
Mg 0.0000 0.0000 0.5341 x1
Si 0.5000 0.5000 0.8160 x1

E_form (uncorrected), kJ/mol of formula units: -33.9
E_tot, eV/cell: -20.3
Magnetic moment, Bohr magnetons per cell: 0.530
Fermi-level density of states, states/eV per atom: 1.153

---

# 3
Compound: Be2InSe
Source: Alexandria
Functional: GGA-PBE
Structure: relaxed

a = 5.8349 Å, b = 5.8349 Å, c = 9.3920 Å
α = 90.00°, β = 90.00°, γ = 90.00°
Space group I-42d (No. 122)
Inequivalent atoms, fractional coordinates:
Be 0.2004 0.2500 0.1250 x8
In 0.0000 0.0000 0.5000 x4
Se 0.0000 0.0000 0.0000 x4

E_form (uncorrected), kJ/mol of formula units: 57.5
E_tot, eV/cell: -52.3
Magnetic moment, Bohr magnetons per cell: 0.000
Fermi-level density of states, states/eV per atom: 0.406
Energy relative to the lowest polymorph listed for this composition, meV per atom: 0.0

---

# 4
Compound: Tl2NiI4
Source: Alexandria
Functional: GGA-PBE
Structure: relaxed

a = 9.2550 Å, b = 11.3141 Å, c = 11.3318 Å
α = 90.00°, β = 90.00°, γ = 90.00°
Space group Fmmm (No. 69)
Inequivalent atoms, fractional coordinates:
Tl 0.2500 0.2500 0.2500 x8
Ni 0.0000 0.0000 0.0000 x4
I 0.0000 0.0000 0.2237 x8
I 0.0000 0.2241 0.0000 x8

E_form (uncorrected), kJ/mol of formula units: -252.8
E_tot, eV/cell: -77.3
Magnetic moment, Bohr magnetons per cell: 0.588
Fermi-level density of states, states/eV per atom: 0.136